Record 1
This record from Alexandria describes a relaxed Pr4PaRh5 crystal. The functional is GGA-PBE.

Cell: 9.697 9.697 5.167 Å, 90.00 90.00 90.00°
Space group I4mm (No. 107)
Asymmetric unit:
Pr  0.000  0.289  0.000 x8
Pa  0.000  0.000  0.582 x2
Rh  0.000  0.000  0.089 x2
Rh  0.185  0.185  0.486 x8

**Total magnetic moment**: 0.01 μB per cell
**DFT formation energy**: -0.562 eV/atom
**Total DFT energy (no corrections)**: -7.099 eV/atom

***

Record 2
This record from Alexandria describes a relaxed La3SiP2Pt9 crystal. The functional is GGA-PBE.

Cell: 6.4962 6.4962 8.3407 Å, 90.00 90.00 120.00°
Space group P-3m1 (No. 164)
Asymmetric unit:
La  0.0000  0.0000  0.0000 x1
La  0.3333  0.6667  0.6530 x2
Si  0.0000  0.0000  0.5000 x1
P  0.3333  0.6667  0.1858 x2
Pt  0.0000  0.5000  0.0000 x3
Pt  0.1472  0.2945  0.2920 x6

**Total magnetic moment**: 0.00 μB per cell
**Total DFT energy (no corrections)**: -6.530 eV/atom

***

Record 3
This record from Alexandria describes a relaxed Tb3NdSn2 crystal. The functional is GGA-PBE.

Cell: 18.131 4.609 9.599 Å, 90.00 114.09 90.00°
Space group C2/m (No. 12)
Asymmetric unit:
Tb  0.055  0.000  0.190 x4
Tb  0.146  0.500  0.981 x4
Tb  0.192  0.500  0.388 x4
Nd  0.115  0.000  0.632 x4
Sn  0.009  0.500  0.354 x4
Sn  0.242  0.000  0.213 x4

**Total magnetic moment**: 0.12 μB per cell
**DFT formation energy**: -0.511 eV/atom
**Total DFT energy (no corrections)**: -4.955 eV/atom

***

Record 4
This record from Alexandria describes a relaxed ReAgAu2 crystal. The functional is GGA-PBE.

Cell: 2.747 5.099 10.081 Å, 90.00 90.00 90.00°
Space group Immm (No. 71)
Asymmetric unit:
Re  0.000  0.000  0.000 x2
Ag  0.000  0.000  0.500 x2
Au  0.000  0.500  0.262 x4

**Total magnetic moment**: 1.82 μB per cell
**Offset from the most stable computed form**: 262 meV/atom
**DFT formation energy**: 0.594 eV/atom
**Total DFT energy (no corrections)**: -4.869 eV/atom